Record 1
LaHoPb6: relaxed, GGA-PBE.

Lattice parameters (Å, degrees): 4.932 4.932 9.784 90.00 90.00 90.00
Sites, in units of the cell vectors:
1 La 0.000 0.000 0.000
2 Ho 0.000 0.000 0.500
3 Pb 0.500 0.500 0.000
4 Pb 0.500 0.500 0.500
5 Pb 0.500 0.000 0.256
6 Pb 0.500 0.000 0.744
7 Pb 0.000 0.500 0.256
8 Pb 0.000 0.500 0.744

Calculated values
Crystal system: tetragonal
Calculated formation energy in eV per atom: -0.36



Record 2
TlGa6Ag12: relaxed, GGA-PBE.

Lattice parameters (Å, degrees): 7.592 7.592 7.592 105.90 105.90 105.90
Sites, in units of the cell vectors:
1 Tl 0.000 0.000 0.000
2 Ga 0.696 0.290 0.290
3 Ga 0.290 0.290 0.696
4 Ga 0.290 0.696 0.290
5 Ga 0.710 0.710 0.304
6 Ga 0.304 0.710 0.710
7 Ga 0.710 0.304 0.710
8 Ag 0.884 0.116 0.500
9 Ag 0.876 0.630 0.630
10 Ag 0.630 0.630 0.876
11 Ag 0.370 0.124 0.370
12 Ag 0.370 0.370 0.124
13 Ag 0.124 0.370 0.370
14 Ag 0.116 0.500 0.884
15 Ag 0.500 0.884 0.116
16 Ag 0.116 0.884 0.500
17 Ag 0.884 0.500 0.116
18 Ag 0.500 0.116 0.884
19 Ag 0.630 0.876 0.630

Calculated values
Crystal system: trigonal
Calculated formation energy in eV per atom: 0.09



Record 3
Dy3YIn2: relaxed, GGA-PBE.

Lattice parameters (Å, degrees): 5.309 9.078 9.289 124.11 90.00 107.00
Sites, in units of the cell vectors:
1 Dy 0.308 0.616 0.610
2 Dy 0.942 0.884 0.598
3 Dy 0.616 0.233 0.687
4 Dy 0.384 0.767 0.313
5 Dy 0.058 0.116 0.402
6 Dy 0.692 0.384 0.390
7 Y 0.870 0.739 0.908
8 Y 0.130 0.261 0.092
9 In 0.523 0.046 0.877
10 In 0.477 0.954 0.123
11 In 0.771 0.542 0.134
12 In 0.229 0.458 0.866

Calculated values
Crystal system: monoclinic
Calculated formation energy in eV per atom: -0.24
Relative energy among the computed polymorphs in meV per atom: 123



Record 4
Li2Ag2Pd: relaxed, GGA-PBE.

Lattice parameters (Å, degrees): 5.533 7.417 8.593 90.00 90.02 90.00
Sites, in units of the cell vectors:
1 Li 0.753 0.905 0.114
2 Li 0.253 0.595 0.114
3 Li 0.747 0.405 0.886
4 Li 0.247 0.095 0.886
5 Li 0.750 0.434 0.351
6 Li 0.250 0.066 0.351
7 Li 0.750 0.934 0.649
8 Li 0.250 0.566 0.649
9 Ag 0.500 0.249 0.126
10 Ag 0.000 0.251 0.126
11 Ag 0.000 0.749 0.874
12 Ag 0.500 0.751 0.874
13 Ag 0.000 0.750 0.377
14 Ag 0.500 0.750 0.377
15 Ag 0.500 0.250 0.623
16 Ag 0.000 0.250 0.623
17 Pd 0.251 0.420 0.372
18 Pd 0.749 0.580 0.628
19 Pd 0.751 0.080 0.372
20 Pd 0.249 0.920 0.628

Calculated values
Crystal system: monoclinic
Calculated formation energy in eV per atom: -0.18
Relative energy among the computed polymorphs in meV per atom: 74



Record 5
NaMgNb: relaxed, GGA-PBE.

Lattice parameters (Å, degrees): 10.825 4.530 2.953 90.00 83.51 90.00
Sites, in units of the cell vectors:
1 Na 0.114 0.250 0.198
2 Na 0.886 0.750 0.802
3 Nb 0.438 0.250 0.149
4 Nb 0.562 0.750 0.851
5 Mg 0.696 0.250 0.362
6 Mg 0.304 0.750 0.638

Calculated values
Crystal system: monoclinic
Calculated formation energy in eV per atom: 0.32
Relative energy among the computed polymorphs in meV per atom: 141



Record 6
PaTlHg2O6: relaxed, GGA-PBE.

Lattice parameters (Å, degrees): 5.891 5.891 6.151 61.39 61.39 60.00
Sites, in units of the cell vectors:
1 Pa 0.816 0.816 0.552
2 Tl 0.316 0.316 0.052
3 Hg 0.575 0.576 0.273
4 Hg 0.057 0.057 0.830
5 O 0.580 0.182 0.301
6 O 0.182 0.937 0.301
7 O 0.937 0.580 0.301
8 O 0.451 0.695 0.802
9 O 0.695 0.053 0.802
10 O 0.053 0.451 0.802

Calculated values
Crystal system: trigonal
ΔE_f (raw) in eV/atom: -1.475